Entry 1:
# FeSi2Pb | Alexandria via LeMat-Bulk | PBE-GGA | relaxed
data_FeSi2Pb
_symmetry_space_group_name_H-M 'P 1'
_symmetry_Int_Tables_number 1
_symmetry_space_group_name_Hall 'P 1'
_cell_length_a 4.071
_cell_length_b 4.670
_cell_length_c 4.099
_cell_angle_alpha 76.74
_cell_angle_beta 90.00
_cell_angle_gamma 90.00
loop_
_atom_site_label
_atom_site_type_symbol
_atom_site_fract_x
_atom_site_fract_y
_atom_site_fract_z
Pb1 Pb 0.500 0.750 0.750
Si1 Si 0.000 0.017 0.182
Fe1 Fe 0.500 0.250 0.250
Si2 Si 0.000 0.483 0.318
# Total moment   1.240 μB/f.u.
# Raw formation energy   0.342 eV/atom
# Space-group type   No. 10
# Final energy   -21.65 eV per cell

=====

Entry 2:
# FeSiPb2 | Alexandria via LeMat-Bulk | PBE-GGA | relaxed
data_FeSiPb2
_symmetry_space_group_name_H-M 'P 1'
_symmetry_Int_Tables_number 1
_symmetry_space_group_name_Hall 'P 1'
_cell_length_a 5.051
_cell_length_b 5.051
_cell_length_c 5.051
_cell_angle_alpha 60.00
_cell_angle_beta 60.00
_cell_angle_gamma 60.00
loop_
_atom_site_label
_atom_site_type_symbol
_atom_site_fract_x
_atom_site_fract_y
_atom_site_fract_z
Fe1 Fe 0.500 0.500 0.500
Pb1 Pb 0.000 0.000 0.000
Pb2 Pb 0.250 0.250 0.250
Si1 Si 0.750 0.750 0.750
# Total moment   2.621 μB/f.u.
# Raw formation energy   0.780 eV/atom
# Space-group type   No. 216
# Final energy   -18.18 eV per cell

=====

Entry 3:
# Fe4SiPb | Alexandria via LeMat-Bulk | PBE-GGA | relaxed
data_Fe4SiPb
_symmetry_space_group_name_H-M 'P 1'
_symmetry_Int_Tables_number 1
_symmetry_space_group_name_Hall 'P 1'
_cell_length_a 4.927
_cell_length_b 4.927
_cell_length_c 4.927
_cell_angle_alpha 60.00
_cell_angle_beta 60.00
_cell_angle_gamma 60.00
loop_
_atom_site_label
_atom_site_type_symbol
_atom_site_fract_x
_atom_site_fract_y
_atom_site_fract_z
Si1 Si 0.000 0.000 0.000
Fe1 Fe 0.374 0.374 0.374
Fe2 Fe 0.877 0.374 0.374
Pb1 Pb 0.750 0.750 0.750
Fe3 Fe 0.374 0.374 0.877
Fe4 Fe 0.374 0.877 0.374
# Total moment   8.542 μB/f.u.
# Raw formation energy   0.352 eV/atom
# Space-group type   No. 216
# Final energy   -40.87 eV per cell

=====

Entry 4:
# FeSiPb2 | Alexandria via LeMat-Bulk | PBE-GGA | relaxed
data_FeSiPb2
_symmetry_space_group_name_H-M 'P 1'
_symmetry_Int_Tables_number 1
_symmetry_space_group_name_Hall 'P 1'
_cell_length_a 6.065
_cell_length_b 6.065
_cell_length_c 7.571
_cell_angle_alpha 66.39
_cell_angle_beta 66.39
_cell_angle_gamma 90.00
loop_
_atom_site_label
_atom_site_type_symbol
_atom_site_fract_x
_atom_site_fract_y
_atom_site_fract_z
Pb1 Pb 0.652 0.125 0.250
Pb2 Pb 0.098 0.625 0.250
Pb3 Pb 0.875 0.902 0.750
Si1 Si 0.250 0.750 0.500
Si2 Si 0.500 0.500 0.000
Fe1 Fe 0.000 0.000 0.000
Fe2 Fe 0.750 0.250 0.500
Pb4 Pb 0.375 0.348 0.750
# Total moment   0.000 μB/f.u.
# Raw formation energy   1.018 eV/atom
# Space-group type   No. 122
# Final energy   -34.46 eV per cell